TcRu2Br: PBEsol geometry, SCAN.

Cell lengths 4.453, 4.453, 4.453 Å; angles 124.41, 124.41, 82.51 degrees
Fractional coordinates of all 4 atoms:
Tc  0.000  0.000  0.000
Ru  0.250  0.750  0.500
Ru  0.500  0.500  0.000
Br  0.750  0.250  0.500

- space-group type = I-4m2 (119)
- ΔE to the lowest computed polymorph (eV per atom) = 0.4920
- E_form (uncorrected) (kcal/mol of atoms) = 25.11



Sc2CoBr: PBEsol geometry, SCAN.

Cell lengths 4.623, 4.623, 4.623 Å; angles 60.00, 60.00, 60.00 degrees
Fractional coordinates of all 4 atoms:
Sc  0.250  0.250  0.250
Sc  0.750  0.750  0.750
Co  0.000  0.000  0.000
Br  0.500  0.500  0.500

- space-group type = Fm-3m (225)
- ΔE to the lowest computed polymorph (eV per atom) = 0.3445
- E_form (uncorrected) (kcal/mol of atoms) = 0.16



K2SrCl4: PBEsol geometry, SCAN.

Cell lengths 7.846, 7.846, 7.832 Å; angles 110.00, 110.00, 108.27 degrees
Fractional coordinates of all 14 atoms:
K  0.056  0.944  0.500
K  0.444  0.832  0.275
K  0.832  0.444  0.775
K  0.944  0.056  0.000
Sr  0.320  0.569  0.638
Sr  0.569  0.320  0.138
Cl  0.047  0.545  0.256
Cl  0.209  0.842  0.885
Cl  0.210  0.343  0.887
Cl  0.343  0.210  0.387
Cl  0.545  0.047  0.756
Cl  0.678  0.678  0.021
Cl  0.678  0.678  0.521
Cl  0.842  0.209  0.385

- space-group type = Cc (9)
- ΔE to the lowest computed polymorph (eV per atom) = 0.0000
- E_form (uncorrected) (kcal/mol of atoms) = -55.95



AgSbTe2Cl: PBEsol geometry, SCAN.

Cell lengths 5.264, 5.264, 5.280 Å; angles 90.00, 90.00, 90.00 degrees
Fractional coordinates of all 5 atoms:
Ag  0.000  0.000  0.000
Sb  0.500  0.500  0.000
Te  0.000  0.500  0.500
Te  0.500  0.000  0.500
Cl  0.500  0.500  0.500

- space-group type = P4/mmm (123)
- E_form (uncorrected) (kcal/mol of atoms) = 21.34



Li4Ti5Co3O16: PBEsol geometry, SCAN.

Cell lengths 5.655, 5.693, 9.439 Å; angles 90.11, 90.67, 118.73 degrees
Fractional coordinates of all 28 atoms:
Li  0.000  0.000  0.000
Li  0.007  0.999  0.498
Li  0.356  0.655  0.591
Li  0.677  0.318  0.103
Ti  0.189  0.812  0.270
Ti  0.357  0.640  0.001
Ti  0.361  0.143  0.774
Ti  0.686  0.332  0.491
Ti  0.852  0.634  0.775
Co  0.179  0.331  0.281
Co  0.668  0.821  0.280
Co  0.842  0.171  0.780
O  0.003  0.988  0.689
O  0.003  0.994  0.189
O  0.043  0.501  0.154
O  0.173  0.320  0.894
O  0.183  0.821  0.898
O  0.342  0.162  0.396
O  0.351  0.653  0.389
O  0.487  0.506  0.167
O  0.494  0.952  0.151
O  0.527  0.463  0.657
O  0.536  0.023  0.648
O  0.672  0.797  0.903
O  0.676  0.322  0.896
O  0.839  0.662  0.394
O  0.843  0.157  0.387
O  0.986  0.489  0.638

- space-group type = P1 (1)
- E_form (uncorrected) (kcal/mol of atoms) = -60.78



Ca2ScAg2: PBEsol geometry, SCAN.

Cell lengths 7.512, 7.512, 4.437 Å; angles 90.00, 90.00, 90.00 degrees
Fractional coordinates of all 10 atoms:
Ca  0.170  0.330  0.000
Ca  0.330  0.830  0.000
Ca  0.670  0.170  0.000
Ca  0.830  0.670  0.000
Sc  0.000  0.000  0.500
Sc  0.500  0.500  0.500
Ag  0.132  0.632  0.500
Ag  0.368  0.132  0.500
Ag  0.632  0.868  0.500
Ag  0.868  0.368  0.500

- space-group type = P4/mbm (127)
- calculated formation energy (eV per atom) = -0.23



K3HfAl: PBEsol geometry, SCAN.

Cell lengths 6.330, 6.330, 6.330 Å; angles 90.00, 90.00, 90.00 degrees
Fractional coordinates of all 5 atoms:
K  0.000  0.000  0.500
K  0.000  0.500  0.000
K  0.500  0.000  0.000
Hf  0.500  0.500  0.500
Al  0.000  0.000  0.000

- space-group type = Pm-3m (221)
- calculated formation energy (eV per atom) = 1.42



ScHgRh: PBEsol geometry, SCAN.

Cell lengths 5.182, 5.182, 5.182 Å; angles 141.99, 141.99, 54.84 degrees
Fractional coordinates of all 3 atoms:
Sc  0.000  0.000  0.000
Hg  0.684  0.684  0.000
Rh  0.363  0.363  0.000

- space-group type = I4mm (107)
- calculated formation energy (eV per atom) = -0.70



CaCo3Br: PBEsol geometry, SCAN.

Cell lengths 4.629, 4.629, 4.629 Å; angles 90.00, 90.00, 90.00 degrees
Fractional coordinates of all 5 atoms:
Ca  0.000  0.000  0.000
Co  0.000  0.000  0.500
Co  0.000  0.500  0.000
Co  0.500  0.000  0.000
Br  0.500  0.500  0.500

- space-group type = Pm-3m (221)
- E_form (uncorrected) (kcal/mol of atoms) = 42.02



Fe2SiSe: PBEsol geometry, SCAN.

Cell lengths 5.890, 5.890, 5.890 Å; angles 152.63, 146.36, 43.90 degrees
Fractional coordinates of all 4 atoms:
Fe  0.000  0.000  0.000
Fe  0.787  0.287  0.500
Si  0.433  0.433  0.000
Se  0.179  0.679  0.500

- space-group type = Imm2 (44)
- ΔE to the lowest computed polymorph (eV per atom) = 0.0000
- E_form (uncorrected) (kcal/mol of atoms) = 0.61



BaFeI2O: PBEsol geometry, SCAN.

Cell lengths 6.572, 6.572, 4.415 Å; angles 90.00, 90.00, 90.00 degrees
Fractional coordinates of all 5 atoms:
Ba  0.000  0.000  0.000
Fe  0.500  0.500  0.500
I  0.000  0.500  0.000
I  0.500  0.000  0.000
O  0.000  0.000  0.500

- space-group type = P4/mmm (123)
- E_form (uncorrected) (kcal/mol of atoms) = -4.24



ZnInCl2: PBEsol geometry, SCAN.

Cell lengths 6.416, 6.416, 6.416 Å; angles 143.45, 143.45, 52.65 degrees
Fractional coordinates of all 4 atoms:
Zn  0.000  0.000  0.000
In  0.250  0.750  0.500
Cl  0.500  0.500  0.000
Cl  0.750  0.250  0.500

- space-group type = I-4m2 (119)
- ΔE to the lowest computed polymorph (eV per atom) = 0.2411
- E_form (uncorrected) (kcal/mol of atoms) = -8.66



Ca2CuIrO6: PBEsol geometry, SCAN.

Cell lengths 6.385, 6.385, 6.321 Å; angles 91.33, 91.33, 91.32 degrees
Fractional coordinates of all 20 atoms:
Ca  0.000  0.000  0.000
Ca  0.287  0.342  0.379
Ca  0.658  0.713  0.621
Ca  0.798  0.202  0.500
Cu  0.213  0.787  0.500
Cu  0.557  0.443  0.000
Ir  0.399  0.099  0.763
Ir  0.901  0.601  0.237
O  0.011  0.569  0.532
O  0.119  0.164  0.675
O  0.187  0.707  0.211
O  0.293  0.813  0.789
O  0.368  0.221  0.042
O  0.431  0.989  0.468
O  0.514  0.394  0.705
O  0.606  0.486  0.295
O  0.690  0.028  0.806
O  0.779  0.632  0.958
O  0.836  0.881  0.325
O  0.972  0.310  0.194

- space-group type = C2 (5)
- E_form (uncorrected) (kcal/mol of atoms) = -39.09



CeCl3: PBEsol geometry, SCAN.

Cell lengths 7.401, 7.401, 4.215 Å; angles 90.00, 90.00, 120.00 degrees
Fractional coordinates of all 8 atoms:
Ce  0.333  0.667  0.250
Ce  0.667  0.333  0.750
Cl  0.086  0.388  0.750
Cl  0.302  0.914  0.750
Cl  0.388  0.302  0.250
Cl  0.612  0.698  0.750
Cl  0.698  0.086  0.250
Cl  0.914  0.612  0.250

- space-group type = P6_3/m (176)
- E_form (uncorrected) (kcal/mol of atoms) = -59.08



Fe2NiCl: PBEsol geometry, SCAN.

Cell lengths 2.983, 2.878, 6.384 Å; angles 90.00, 90.02, 90.00 degrees
Fractional coordinates of all 4 atoms:
Fe  0.000  0.000  0.000
Fe  0.500  0.500  0.213
Ni  0.000  0.000  0.404
Cl  0.004  0.500  0.706

- space-group type = Pm (6)
- ΔE to the lowest computed polymorph (eV per atom) = 0.0000
- E_form (uncorrected) (kcal/mol of atoms) = 0.19



KBaBe2Co: PBEsol geometry, SCAN.

Cell lengths 5.766, 5.766, 5.154 Å; angles 90.00, 90.00, 90.00 degrees
Fractional coordinates of all 5 atoms:
K  0.000  0.000  0.000
Ba  0.500  0.500  0.500
Be  0.000  0.500  0.500
Be  0.500  0.000  0.500
Co  0.500  0.500  0.000

- space-group type = P4/mmm (123)
- calculated formation energy (eV per atom) = 1.67



ZrCdRu: PBEsol geometry, SCAN.

Cell lengths 5.305, 5.305, 5.305 Å; angles 142.96, 142.96, 53.38 degrees
Fractional coordinates of all 3 atoms:
Zr  0.000  0.000  0.000
Cd  0.692  0.692  0.000
Ru  0.367  0.367  0.000

- space-group type = I4mm (107)
- calculated formation energy (eV per atom) = -0.34
- ΔE to the lowest computed polymorph (eV per atom) = 0.0000



MgTl2Cd: PBEsol geometry, SCAN.

Cell lengths 6.283, 6.283, 6.283 Å; angles 148.16, 130.40, 60.15 degrees
Fractional coordinates of all 4 atoms:
Mg  0.000  0.000  0.000
Tl  0.246  0.746  0.500
Tl  0.516  0.516  0.000
Cd  0.771  0.271  0.500

- space-group type = Imm2 (44)
- calculated formation energy (eV per atom) = -0.01
- ΔE to the lowest computed polymorph (eV per atom) = 0.0175



ScAs2Ir: PBEsol geometry, SCAN.

Cell lengths 4.871, 4.871, 4.642 Å; angles 104.46, 104.46, 38.10 degrees
Fractional coordinates of all 4 atoms:
Sc  0.000  0.000  0.000
As  0.498  0.498  0.489
As  0.739  0.739  0.113
Ir  0.226  0.226  0.642

- space-group type = Cm (8)
- calculated formation energy (eV per atom) = -0.58
- ΔE to the lowest computed polymorph (eV per atom) = 0.0083



CaBePb3: PBEsol geometry, SCAN.

Cell lengths 5.747, 5.747, 5.747 Å; angles 90.00, 90.00, 90.00 degrees
Fractional coordinates of all 5 atoms:
Ca  0.000  0.000  0.000
Be  0.500  0.500  0.500
Pb  0.000  0.000  0.500
Pb  0.000  0.500  0.000
Pb  0.500  0.000  0.000

- space-group type = Pm-3m (221)
- calculated formation energy (eV per atom) = 1.09



Cd2InTc: PBEsol geometry, SCAN.

Cell lengths 5.307, 5.307, 5.307 Å; angles 135.35, 135.35, 64.99 degrees
Fractional coordinates of all 4 atoms:
Cd  0.000  0.000  0.000
Cd  0.750  0.250  0.500
In  0.500  0.500  0.000
Tc  0.250  0.750  0.500

- space-group type = I-4m2 (119)
- calculated formation energy (eV per atom) = 0.30



Ba2MgCl: PBEsol geometry, SCAN.

Cell lengths 9.087, 9.087, 9.087 Å; angles 154.63, 151.31, 38.67 degrees
Fractional coordinates of all 4 atoms:
Ba  0.000  0.000  0.000
Ba  0.721  0.221  0.500
Mg  0.389  0.389  0.000
Cl  0.160  0.660  0.500

- space-group type = Imm2 (44)
- ΔE to the lowest computed polymorph (eV per atom) = 0.0758
- E_form (uncorrected) (kcal/mol of atoms) = -20.09



SiSbRh2: PBEsol geometry, SCAN.

Cell lengths 4.339, 4.339, 3.213 Å; angles 90.00, 90.00, 90.00 degrees
Fractional coordinates of all 4 atoms:
Si  0.000  0.000  0.000
Sb  0.500  0.500  0.000
Rh  0.000  0.500  0.500
Rh  0.500  0.000  0.500

- space-group type = P4/mmm (123)
- ΔE to the lowest computed polymorph (eV per atom) = 0.0209
- E_form (uncorrected) (kcal/mol of atoms) = -4.12



GaCuBi3: PBEsol geometry, SCAN.

Cell lengths 5.351, 5.351, 5.351 Å; angles 90.00, 90.00, 90.00 degrees
Fractional coordinates of all 5 atoms:
Ga  0.000  0.000  0.000
Cu  0.500  0.500  0.500
Bi  0.000  0.000  0.500
Bi  0.000  0.500  0.000
Bi  0.500  0.000  0.000

- space-group type = Pm-3m (221)
- calculated formation energy (eV per atom) = 0.97



CaGeNF2: PBEsol geometry, SCAN.

Cell lengths 4.128, 4.128, 4.783 Å; angles 90.00, 90.00, 90.00 degrees
Fractional coordinates of all 5 atoms:
Ca  0.000  0.000  0.000
Ge  0.500  0.500  0.500
N  0.000  0.000  0.500
F  0.000  0.500  0.000
F  0.500  0.000  0.000

- space-group type = P4/mmm (123)
- E_form (uncorrected) (kcal/mol of atoms) = -26.25



TiNi: PBEsol geometry, SCAN.

Cell lengths 7.059, 7.059, 7.059 Å; angles 128.64, 128.64, 75.58 degrees
Fractional coordinates of all 16 atoms:
Ti  0.000  0.000  0.000
Ti  0.000  0.500  0.500
Ti  0.226  0.226  0.000
Ti  0.250  0.750  0.500
Ti  0.500  0.000  0.500
Ti  0.500  0.500  0.000
Ti  0.750  0.250  0.500
Ti  0.774  0.774  0.000
Ni  0.146  0.146  0.548
Ni  0.146  0.598  0.000
Ni  0.402  0.402  0.548
Ni  0.402  0.854  0.000
Ni  0.598  0.146  0.000
Ni  0.598  0.598  0.452
Ni  0.854  0.402  0.000
Ni  0.854  0.854  0.452

- space-group type = I4/mmm (139)
- calculated formation energy (eV per atom) = -0.41



Let's list total DFT energy (no corrections) in order: -119.8 -65.2 -175.7 -146.5 -315.1 -194.9 -88.3 -118.3 -71.9 -66.2 -138.3 -64.4 -319.9 -157.5 -60.4 -65.5 -96.9 -180.1 -128.0 -235.9 -128.1 -95.5 -115.5 -262.5 -50.8 -264.2 eV per cell.